# LiNbOsPb2 (PBE-GGA, relaxed)
data_LiNbOsPb2
_chemical_formula_sum 'Li1 Nb1 Os1 Pb2'
_cell_length_a 5.542
_cell_length_b 5.542
_cell_length_c 4.772
_cell_angle_alpha 90.00
_cell_angle_beta 90.00
_cell_angle_gamma 90.00
_symmetry_space_group_name_H-M 'P 4/m m m'
_symmetry_Int_Tables_number 123
_symmetry_space_group_name_Hall '-P 4 2'
loop_
_atom_site_label
_atom_site_fract_x
_atom_site_fract_y
_atom_site_fract_z
Li1 0.000 0.000 0.000
Nb1 0.500 0.500 0.500
Os1 0.500 0.500 0.000
Pb1 0.000 0.500 0.500
# Crystal system: tetragonal
# E_form: 949 meV/atom
# DOS(E_F): 0.758 states/eV per atom



# Rb3PaB2O8 (PBE-GGA, relaxed)
data_Rb3PaB2O8
_chemical_formula_sum 'Rb3 Pa1 B2 O8'
_cell_length_a 5.5348
_cell_length_b 5.5348
_cell_length_c 8.2383
_cell_angle_alpha 90.00
_cell_angle_beta 90.00
_cell_angle_gamma 120.00
_symmetry_space_group_name_H-M 'P -3 m 1'
_symmetry_Int_Tables_number 164
_symmetry_space_group_name_Hall '-P 3 2"'
loop_
_atom_site_label
_atom_site_fract_x
_atom_site_fract_y
_atom_site_fract_z
Rb1 0.0000 0.0000 0.0000
Rb2 0.3333 0.6667 0.7709
Pa1 0.0000 0.0000 0.5000
B1 0.3333 0.6667 0.2897
O1 0.1854 0.3707 0.3469
O2 0.3333 0.6667 0.1139
# Crystal system: trigonal
# Total DFT energy (no corrections): -96.83 eV per cell
# DOS(E_F): 0.554 states/eV per atom



# TaCu7 (PBE-GGA, relaxed)
data_TaCu7
_chemical_formula_sum 'Ta4 Cu28'
_cell_length_a 7.473
_cell_length_b 7.473
_cell_length_c 7.473
_cell_angle_alpha 90.00
_cell_angle_beta 90.00
_cell_angle_gamma 90.00
_symmetry_space_group_name_H-M 'F m -3 m'
_symmetry_Int_Tables_number 225
_symmetry_space_group_name_Hall '-F 4 2 3'
loop_
_atom_site_label
_atom_site_fract_x
_atom_site_fract_y
_atom_site_fract_z
Ta1 0.000 0.000 0.000
Cu1 0.000 0.000 0.500
Cu2 0.000 0.250 0.250
# Crystal system: cubic
# E_form: 228 meV/atom
# DOS(E_F): 0.698 states/eV per atom



# BaPtSeN2 (PBE-GGA, relaxed)
data_BaPtSeN2
_chemical_formula_sum 'Ba1 Pt1 Se1 N2'
_cell_length_a 4.287
_cell_length_b 4.287
_cell_length_c 5.293
_cell_angle_alpha 90.00
_cell_angle_beta 90.00
_cell_angle_gamma 90.00
_symmetry_space_group_name_H-M 'P 4/m m m'
_symmetry_Int_Tables_number 123
_symmetry_space_group_name_Hall '-P 4 2'
loop_
_atom_site_label
_atom_site_fract_x
_atom_site_fract_y
_atom_site_fract_z
Ba1 0.000 0.000 0.000
Pt1 0.500 0.500 0.500
Se1 0.500 0.500 0.000
N1 0.000 0.500 0.500
# Crystal system: tetragonal
# Total DFT energy (no corrections): -25.73 eV per cell
# DOS(E_F): 0.337 states/eV per atom



# Rb8AuCl2 (PBE-GGA, relaxed)
data_Rb8AuCl2
_chemical_formula_sum 'Rb16 Au2 Cl4'
_cell_length_a 17.386
_cell_length_b 13.003
_cell_length_c 6.640
_cell_angle_alpha 90.00
_cell_angle_beta 91.96
_cell_angle_gamma 90.00
_symmetry_space_group_name_H-M 'C 1 2/m 1'
_symmetry_Int_Tables_number 12
loop_
_symmetry_equiv_pos_as_xyz
'x,y,z'
'-x,-y,-z'
'-x,y,-z'
'x,-y,z'
'x+1/2,y+1/2,z'
'-x+1/2,-y+1/2,-z'
'-x+1/2,y+1/2,-z'
'x+1/2,-y+1/2,z'
loop_
_atom_site_label
_atom_site_fract_x
_atom_site_fract_y
_atom_site_fract_z
Rb1 0.097 0.198 0.251
Rb2 0.105 0.500 0.755
Rb3 0.190 0.000 0.727
Au1 0.000 0.000 0.500
Cl1 0.211 0.000 0.220
# Crystal system: monoclinic
# Total DFT energy (no corrections): -44.27 eV per cell
# DOS(E_F): 0.477 states/eV per atom



# Ta3ZnFe (PBE-GGA, relaxed)
data_Ta3ZnFe
_chemical_formula_sum 'Ta3 Zn1 Fe1'
_cell_length_a 4.624
_cell_length_b 4.624
_cell_length_c 4.624
_cell_angle_alpha 90.00
_cell_angle_beta 90.00
_cell_angle_gamma 90.00
_symmetry_space_group_name_H-M 'P m -3 m'
_symmetry_Int_Tables_number 221
_symmetry_space_group_name_Hall '-P 4 2 3'
loop_
_atom_site_label
_atom_site_fract_x
_atom_site_fract_y
_atom_site_fract_z
Ta1 0.000 0.000 0.500
Zn1 0.000 0.000 0.000
Fe1 0.500 0.500 0.500
# Crystal system: cubic
# E_form: 1773 meV/atom
# DOS(E_F): 2.592 states/eV per atom



# PuCrBr6 (PBE-GGA, relaxed)
data_PuCrBr6
_chemical_formula_sum 'Pu3 Cr3 Br18'
_cell_length_a 6.8031
_cell_length_b 6.8031
_cell_length_c 18.5579
_cell_angle_alpha 90.00
_cell_angle_beta 90.00
_cell_angle_gamma 120.00
_symmetry_space_group_name_H-M 'R -3'
_symmetry_Int_Tables_number 148
_symmetry_space_group_name_Hall '-R 3'
loop_
_atom_site_label
_atom_site_fract_x
_atom_site_fract_y
_atom_site_fract_z
Pu1 0.0000 0.0000 0.0000
Cr1 0.0000 0.0000 0.5000
Br1 0.0023 0.6931 0.5789
# Crystal system: trigonal
# Total DFT energy (no corrections): -127.26 eV per cell
# DOS(E_F): 1.325 states/eV per atom



# MnMoS (PBE-GGA, relaxed)
data_MnMoS
_chemical_formula_sum 'Mn4 Mo4 S4'
_cell_length_a 8.565
_cell_length_b 2.989
_cell_length_c 6.312
_cell_angle_alpha 90.00
_cell_angle_beta 92.83
_cell_angle_gamma 90.00
_symmetry_space_group_name_H-M 'C 1 2/m 1'
_symmetry_Int_Tables_number 12
loop_
_symmetry_equiv_pos_as_xyz
'x,y,z'
'-x,-y,-z'
'-x,y,-z'
'x,-y,z'
'x+1/2,y+1/2,z'
'-x+1/2,-y+1/2,-z'
'-x+1/2,y+1/2,-z'
'x+1/2,-y+1/2,z'
loop_
_atom_site_label
_atom_site_fract_x
_atom_site_fract_y
_atom_site_fract_z
Mn1 0.139 0.000 0.448
Mo1 0.093 0.500 0.769
S1 0.185 0.500 0.171
# Crystal system: monoclinic
# Total DFT energy (no corrections): -98.53 eV per cell
# DOS(E_F): 0.610 states/eV per atom



# Pu12P3H5 (PBE-GGA, relaxed)
data_Pu12P3H5
_chemical_formula_sum 'Pu96 P24 H40'
_cell_length_a 14.799
_cell_length_b 14.799
_cell_length_c 14.799
_cell_angle_alpha 90.00
_cell_angle_beta 90.00
_cell_angle_gamma 90.00
_symmetry_space_group_name_H-M 'I a -3 d'
_symmetry_Int_Tables_number 230
_symmetry_space_group_name_Hall '-I 4bd 2c 3'
loop_
_atom_site_label
_atom_site_fract_x
_atom_site_fract_y
_atom_site_fract_z
Pu1 0.034 0.061 0.650
P1 0.000 0.250 0.125
H1 0.000 0.000 0.000
H2 0.000 0.250 0.375
# Crystal system: cubic
# Total DFT energy (no corrections): -1684.46 eV per cell
# DOS(E_F): 3.722 states/eV per atom



# KCF3 (PBE-GGA, relaxed)
data_KCF3
_chemical_formula_sum 'K1 C1 F3'
_cell_length_a 4.760
_cell_length_b 4.760
_cell_length_c 4.760
_cell_angle_alpha 90.00
_cell_angle_beta 90.00
_cell_angle_gamma 90.00
_symmetry_space_group_name_H-M 'P m -3 m'
_symmetry_Int_Tables_number 221
_symmetry_space_group_name_Hall '-P 4 2 3'
loop_
_atom_site_label
_atom_site_fract_x
_atom_site_fract_y
_atom_site_fract_z
K1 0.000 0.000 0.000
C1 0.500 0.500 0.500
F1 0.000 0.000 0.500
# Crystal system: cubic
# Total DFT energy (no corrections): -12.69 eV per cell
# DOS(E_F): 12.402 states/eV per atom



# Zn6CuAu (PBE-GGA, relaxed)
data_Zn6CuAu
_chemical_formula_sum 'Zn6 Cu1 Au1'
_cell_length_a 4.925
_cell_length_b 4.950
_cell_length_c 5.012
_cell_angle_alpha 93.61
_cell_angle_beta 94.09
_cell_angle_gamma 94.89
_symmetry_space_group_name_H-M 'P -1'
_symmetry_Int_Tables_number 2
loop_
_symmetry_equiv_pos_as_xyz
'x,y,z'
'-x,-y,-z'
loop_
_atom_site_label
_atom_site_fract_x
_atom_site_fract_y
_atom_site_fract_z
Zn1 0.022 0.453 0.253
Zn2 0.247 0.972 0.055
Zn3 0.452 0.752 0.524
Cu1 0.000 0.000 0.500
Au1 0.500 0.500 0.000
# Crystal system: triclinic
# E_form: -59 meV/atom
# DOS(E_F): 0.256 states/eV per atom



# Th2AuSe (PBE-GGA, relaxed)
data_Th2AuSe
_chemical_formula_sum 'Th2 Au1 Se1'
_cell_length_a 3.524
_cell_length_b 3.524
_cell_length_c 8.006
_cell_angle_alpha 90.00
_cell_angle_beta 90.00
_cell_angle_gamma 90.00
_symmetry_space_group_name_H-M 'P 4/m m m'
_symmetry_Int_Tables_number 123
_symmetry_space_group_name_Hall '-P 4 2'
loop_
_atom_site_label
_atom_site_fract_x
_atom_site_fract_y
_atom_site_fract_z
Th1 0.000 0.000 0.246
Au1 0.500 0.500 0.500
Se1 0.500 0.500 0.000
# Crystal system: tetragonal
# Total DFT energy (no corrections): -25.38 eV per cell
# DOS(E_F): 0.602 states/eV per atom